# PuGa2Cl8 PBE relaxed
data_PuGa2Cl8
_chemical_formula_sum 'Pu2 Ga4 Cl16'
_space_group_name_H-M_alt 'C 1 2/m 1'
_space_group_IT_number 12
_cell_length_a 13.1561
_cell_length_b 8.8045
_cell_length_c 6.6440
_cell_angle_alpha 90.00
_cell_angle_beta 100.21
_cell_angle_gamma 90.00
loop_
_space_group_symop_operation_xyz
'x,y,z'
'-x,-y,-z'
'-x,y,-z'
'x,-y,z'
'x+1/2,y+1/2,z'
'-x+1/2,-y+1/2,-z'
'-x+1/2,y+1/2,-z'
'x+1/2,-y+1/2,z'
loop_
_atom_site_label
_atom_site_type_symbol
_atom_site_fract_x
_atom_site_fract_y
_atom_site_fract_z
Pu1 Pu 0.0000 0.0000 0.0000
Ga1 Ga 0.1995 0.0000 0.6616
Cl1 Cl 0.1106 0.1954 0.7662
Cl2 Cl 0.1377 0.5000 0.2120
Cl3 Cl 0.1771 0.0000 0.3154
# Energy relative to the elements, uncorrected (kJ per mole of atoms): -124.32
# ρ (g/cm³): 2.93
# Electronic total energy (eV per atom): -4.48
# Energy relative to the lowest polymorph listed for this composition (kcal/mol of atoms): 0.45
# DOS(E_F) (states/eV/f.u.): 14.6